[1]
Density functional theory data (GGA-PBE) for a geometry-optimized Cd2FeCu structure.

Cell lengths 9.3516, 9.3516, 9.3516 Å; angles 17.73, 17.73, 17.73 degrees
Atoms (fractional coordinates):
Cd: 0.2493 0.2493 0.2493
Cd: 0.7507 0.7507 0.7507
Fe: 0.0000 0.0000 0.0000
Cu: 0.5000 0.5000 0.5000

Properties
Space group: R-3m, No. 166
Formation energy (eV/atom): 0.273

***

[2]
Density functional theory data (GGA-PBE) for a geometry-optimized Cd2FeCu structure.

Cell lengths 5.4088, 5.4088, 5.4088 Å; angles 147.35, 127.48, 63.23 degrees
Atoms (fractional coordinates):
Cd: 0.2432 0.2432 0.0000
Cd: 0.7568 0.7568 0.0000
Fe: 0.5000 0.0000 0.5000
Cu: 0.0000 0.5000 0.5000

Properties
Space group: Immm, No. 71
Formation energy (eV/atom): 0.351

***

[3]
Density functional theory data (GGA-PBE) for a geometry-optimized Cd2FeCu structure.

Cell lengths 4.7612, 4.7612, 5.2449 Å; angles 98.62, 98.62, 34.74 degrees
Atoms (fractional coordinates):
Cd: 0.2486 0.2486 0.2489
Cd: 0.7514 0.7514 0.7511
Fe: 0.0000 0.0000 0.5000
Cu: 0.5000 0.5000 0.0000

Properties
Space group: C2/m, No. 12
Formation energy (eV/atom): 0.331

***

[4]
Density functional theory data (GGA-PBE) for a geometry-optimized Cd2FeCu structure.

Cell lengths 2.9268, 2.9520, 7.5832 Å; angles 90.00, 90.00, 90.00 degrees
Atoms (fractional coordinates):
Cd: 0.0000 0.0000 0.2457
Cd: 0.0000 0.0000 0.7543
Fe: 0.5000 0.5000 0.5000
Cu: 0.5000 0.5000 0.0000

Properties
Space group: Pmmm, No. 47
Formation energy (eV/atom): 0.228

***

[5]
Density functional theory data (GGA-PBE) for a geometry-optimized Cd2FeCu structure.

Cell lengths 4.5492, 4.5492, 4.5492 Å; angles 60.00, 60.00, 60.00 degrees
Atoms (fractional coordinates):
Cd: 0.0000 0.0000 0.0000
Cd: 0.2500 0.2500 0.2500
Fe: 0.5000 0.5000 0.5000
Cu: 0.7500 0.7500 0.7500

Properties
Space group: F-43m, No. 216
Formation energy (eV/atom): 0.344

***

[6]
Density functional theory data (GGA-PBE) for a geometry-optimized CdFeCu structure.

Cell lengths 5.9756, 5.9756, 5.9756 Å; angles 152.81, 152.81, 38.83 degrees
Atoms (fractional coordinates):
Cd: 0.0000 0.0000 0.0000
Fe: 0.6815 0.6815 0.0000
Cu: 0.3211 0.3211 0.0000

Properties
Space group: I4mm, No. 107
Formation energy (eV/atom): 0.237

***

[7]
Density functional theory data (GGA-PBE) for a geometry-optimized Cd2FeCu structure.

Cell lengths 4.6704, 4.6704, 3.0197 Å; angles 90.10, 90.10, 85.68 degrees
Atoms (fractional coordinates):
Cd: 0.0000 0.5000 0.0000
Cd: 0.5000 0.0000 0.0000
Fe: 0.0000 0.0000 0.5000
Cu: 0.5000 0.5000 0.5000

Properties
Space group: C2/m, No. 12
Formation energy (eV/atom): 0.261

***

[8]
Density functional theory data (GGA-PBE) for a geometry-optimized CdFeCu3 structure.

Cell lengths 4.4847, 4.4847, 4.4847 Å; angles 90.00, 90.00, 90.00 degrees
Atoms (fractional coordinates):
Cd: 0.0000 0.0000 0.0000
Fe: 0.5000 0.5000 0.5000
Cu: 0.0000 0.5000 0.5000
Cu: 0.5000 0.0000 0.5000
Cu: 0.5000 0.5000 0.0000

Properties
Space group: Pm-3m, No. 221
Formation energy (eV/atom): 0.856

***

[9]
Density functional theory data (GGA-PBE) for a geometry-optimized CdFeCu structure.

Cell lengths 3.0694, 4.2688, 6.9936 Å; angles 91.64, 102.60, 90.12 degrees
Atoms (fractional coordinates):
Cd: 0.0765 0.2555 0.1521
Cd: 0.9235 0.7445 0.8479
Fe: 0.2527 0.7419 0.5058
Fe: 0.7473 0.2581 0.4942
Cu: 0.3899 0.2415 0.7802
Cu: 0.6101 0.7585 0.2198

Properties
Space group: P-1, No. 2
Formation energy (eV/atom): 0.212

***

[10]
Density functional theory data (GGA-PBE) for a geometry-optimized Cd2FeCu structure.

Cell lengths 4.9102, 4.9102, 4.9102 Å; angles 130.84, 130.84, 72.07 degrees
Atoms (fractional coordinates):
Cd: 0.0000 0.0000 0.0000
Cd: 0.7500 0.2500 0.5000
Fe: 0.5000 0.5000 0.0000
Cu: 0.2500 0.7500 0.5000

Properties
Space group: I-4m2, No. 119
Formation energy (eV/atom): 0.323

***

[11]
Density functional theory data (GGA-PBE) for a geometry-optimized Cd2FeCu structure.

Cell lengths 5.5413, 5.5413, 5.5413 Å; angles 149.41, 129.40, 60.30 degrees
Atoms (fractional coordinates):
Cd: 0.0000 0.0000 0.0000
Cd: 0.7208 0.2208 0.5000
Fe: 0.4684 0.4684 0.0000
Cu: 0.2534 0.7534 0.5000

Properties
Space group: Imm2, No. 44
Formation energy (eV/atom): 0.262

***

[12]
Density functional theory data (GGA-PBE) for a geometry-optimized CdFe3Cu structure.

Cell lengths 4.4116, 4.4116, 4.4116 Å; angles 90.00, 90.00, 90.00 degrees
Atoms (fractional coordinates):
Cd: 0.0000 0.0000 0.0000
Fe: 0.0000 0.5000 0.5000
Fe: 0.5000 0.0000 0.5000
Fe: 0.5000 0.5000 0.0000
Cu: 0.5000 0.5000 0.5000

Properties
Space group: Pm-3m, No. 221
Formation energy (eV/atom): 1.002

***

[13]
Density functional theory data (GGA-PBE) for a geometry-optimized Cd2FeCu structure.

Cell lengths 2.8468, 4.4183, 5.3766 Å; angles 90.00, 100.02, 90.00 degrees
Atoms (fractional coordinates):
Cd: 0.0000 0.0000 0.0000
Cd: 0.2411 0.5000 0.6709
Fe: 0.6141 0.0000 0.4630
Cu: 0.6194 0.5000 0.2151

Properties
Space group: Pm, No. 6
Formation energy (eV/atom): 0.271

***

[14]
Density functional theory data (GGA-PBE) for a geometry-optimized Cd2FeCu structure.

Cell lengths 9.9774, 9.9774, 9.9774 Å; angles 157.27, 157.27, 32.36 degrees
Atoms (fractional coordinates):
Cd: 0.1233 0.6250 0.9983
Cd: 0.3750 0.3733 0.4983
Cd: 0.6267 0.1250 0.0017
Cd: 0.8750 0.8767 0.5017
Fe: 0.2500 0.7500 0.5000
Fe: 0.5000 0.5000 0.0000
Cu: 0.0000 0.0000 0.0000
Cu: 0.7500 0.2500 0.5000

Properties
Space group: I-42d, No. 122
Formation energy (eV/atom): 0.571

***

[15]
Density functional theory data (GGA-PBE) for a geometry-optimized Cd2FeCu structure.

Cell lengths 5.2846, 5.2846, 4.7736 Å; angles 109.53, 109.53, 32.05 degrees
Atoms (fractional coordinates):
Cd: 0.0000 0.0000 0.0000
Cd: 0.2206 0.2206 0.6646
Fe: 0.7528 0.7528 0.1919
Cu: 0.4639 0.4639 0.4691

Properties
Space group: Cm, No. 8
Formation energy (eV/atom): 0.258

***

[16]
Density functional theory data (GGA-PBE) for a geometry-optimized CdFe2CuN structure.

Cell lengths 3.8550, 3.8550, 4.1125 Å; angles 90.00, 90.00, 90.00 degrees
Atoms (fractional coordinates):
Cd: 0.0000 0.0000 0.0000
Fe: 0.0000 0.5000 0.5000
Fe: 0.5000 0.0000 0.5000
Cu: 0.5000 0.5000 0.0000
N: 0.5000 0.5000 0.5000

Properties
Space group: P4/mmm, No. 123
Uncorrected energy (eV per cell): -29.7

***

[17]
Density functional theory data (GGA-PBE) for a geometry-optimized CdFeCuRh structure.

Cell lengths 4.3814, 4.3814, 4.3814 Å; angles 60.00, 60.00, 60.00 degrees
Atoms (fractional coordinates):
Cd: 0.0000 0.0000 0.0000
Fe: 0.5000 0.5000 0.5000
Cu: 0.2500 0.2500 0.2500
Rh: 0.7500 0.7500 0.7500

Properties
Space group: F-43m, No. 216
Formation energy (eV/atom): 0.123

***

[18]
Density functional theory data (GGA-PBE) for a geometry-optimized Cd2Fe3Cu10Sn5Se20 structure.

Cell lengths 21.3817, 7.0475, 21.0109 Å; angles 83.42, 19.11, 77.47 degrees
Atoms (fractional coordinates):
Cd: 0.1997 0.8003 0.1997
Cd: 0.8003 0.1997 0.8003
Fe: 0.0003 0.0003 0.9997
Fe: 0.4002 0.5967 0.4033
Fe: 0.5967 0.4002 0.5998
Cu: 0.0491 0.4507 0.0495
Cu: 0.1497 0.3513 0.1446
Cu: 0.2509 0.2509 0.2491
Cu: 0.3513 0.1497 0.3544
Cu: 0.4507 0.0491 0.4507
Cu: 0.5493 0.9505 0.5493
Cu: 0.6456 0.8554 0.6487
Cu: 0.7509 0.7509 0.7491
Cu: 0.8554 0.6456 0.8503
Cu: 0.9505 0.5493 0.9509
Sn: 0.0994 0.9048 0.0952
Sn: 0.3040 0.6978 0.3022
Sn: 0.5001 0.5001 0.4999
Sn: 0.6978 0.3040 0.6960
Sn: 0.9048 0.0994 0.9006
Se: 0.0083 0.7134 0.2866
Se: 0.0904 0.2005 0.3070
Se: 0.1142 0.6096 0.3904
Se: 0.2005 0.0904 0.4021
Se: 0.2218 0.5105 0.4895
Se: 0.3015 0.9598 0.5017
Se: 0.3116 0.4172 0.5828
Se: 0.3627 0.9013 0.6373
Se: 0.4172 0.3116 0.6884
Se: 0.4983 0.7630 0.6985
Se: 0.5105 0.2218 0.7782
Se: 0.5979 0.6930 0.7995
Se: 0.6096 0.1142 0.8858
Se: 0.6930 0.5979 0.9096
Se: 0.7134 0.0083 0.9917
Se: 0.7630 0.4983 0.0402
Se: 0.8194 0.9104 0.0896
Se: 0.9013 0.3627 0.0987
Se: 0.9104 0.8194 0.1806
Se: 0.9598 0.3015 0.2370

Properties
Space group: Fmm2, No. 42
Uncorrected energy (eV per cell): -169.8

***

[19]
Density functional theory data (GGA-PBE) for a geometry-optimized CdFeCu4Sn2Se8 structure.

Cell lengths 5.8310, 5.8310, 11.5131 Å; angles 90.00, 90.00, 90.00 degrees
Atoms (fractional coordinates):
Cd: 0.0000 0.0000 0.0000
Fe: 0.5000 0.5000 0.5000
Cu: 0.0000 0.5000 0.2573
Cu: 0.0000 0.5000 0.7427
Cu: 0.5000 0.0000 0.2573
Cu: 0.5000 0.0000 0.7427
Sn: 0.0000 0.0000 0.5000
Sn: 0.5000 0.5000 0.0000
Se: 0.2526 0.2526 0.1443
Se: 0.2526 0.7474 0.8557
Se: 0.2660 0.2660 0.6300
Se: 0.2660 0.7340 0.3700
Se: 0.7340 0.2660 0.3700
Se: 0.7340 0.7340 0.6300
Se: 0.7474 0.2526 0.8557
Se: 0.7474 0.7474 0.1443

Properties
Space group: P-42m, No. 111
Uncorrected energy (eV per cell): -66.6

***

[20]
Density functional theory data (GGA-PBE) for a geometry-optimized Cd4FeCu10Sn5Se20 structure.

Cell lengths 7.1229, 7.1229, 26.2281 Å; angles 90.77, 90.77, 48.77 degrees
Atoms (fractional coordinates):
Cd: 0.1007 0.1007 0.3992
Cd: 0.3014 0.3050 0.1972
Cd: 0.6950 0.6986 0.8028
Cd: 0.8993 0.8993 0.6008
Fe: 0.5026 0.4974 0.0000
Cu: 0.1984 0.2022 0.0471
Cu: 0.2006 0.2001 0.5503
Cu: 0.3996 0.4010 0.3495
Cu: 0.4014 0.3976 0.8537
Cu: 0.5990 0.6004 0.6505
Cu: 0.6024 0.5986 0.1463
Cu: 0.7978 0.8016 0.9529
Cu: 0.7999 0.7994 0.4497
Cu: 0.9972 0.0010 0.7513
Cu: 0.9990 0.0028 0.2487
Sn: 0.0961 0.0965 0.9040
Sn: 0.2983 0.3003 0.7024
Sn: 0.5000 0.5000 0.5000
Sn: 0.6997 0.7017 0.2976
Sn: 0.9035 0.9039 0.0960
Se: 0.0062 0.5220 0.3758
Se: 0.0150 0.5046 0.8820
Se: 0.0919 0.5839 0.5208
Se: 0.1212 0.5773 0.0199
Se: 0.2078 0.7268 0.1747
Se: 0.2160 0.7069 0.6807
Se: 0.2732 0.7922 0.8253
Se: 0.2931 0.7840 0.3193
Se: 0.4161 0.9081 0.4792
Se: 0.4227 0.8788 0.9801
Se: 0.4780 0.9938 0.6242
Se: 0.4954 0.9850 0.1180
Se: 0.6081 0.1176 0.7803
Se: 0.6147 0.1113 0.2777
Se: 0.6753 0.2021 0.9289
Se: 0.6807 0.1916 0.4223
Se: 0.7979 0.3247 0.0711
Se: 0.8084 0.3193 0.5777
Se: 0.8824 0.3919 0.2197
Se: 0.8887 0.3853 0.7223

Properties
Space group: C2, No. 5
Uncorrected energy (eV per cell): -156.8